[1]
Here is crystalline VIn2Ag2O6 at its relaxed geometry from the Alexandria database. Energies are from GGA+U.

Calculated values
As for the crystal system: monoclinic. For the calculated total energy, the calculation gives -0.4132 Ry per atom.

Unit cell a=5.5320 b=9.8082 c=6.5149 alpha=90.00 beta=102.11 gamma=90.00
Space group C2/m (No. 12)
Inequivalent atoms, fractional coordinates:
V 0.0000 0.0000 0.0000 [2 per cell]
In 0.0000 0.3346 0.0000 [4 per cell]
Ag 0.0000 0.1590 0.5000 [4 per cell]
O 0.1080 0.1583 0.8308 [8 per cell]
O 0.1696 0.5000 0.8504 [4 per cell]

[2]
Here is crystalline VInAgO4 at its relaxed geometry from the Alexandria database. Energies are from GGA+U.

Calculated values
As for the crystal system: monoclinic. For the calculated total energy, the calculation gives -0.4341 Ry per atom. For the density of states at the Fermi level, the calculation gives 4.4 states/eV per cell.

Unit cell a=5.6032 b=5.9607 c=6.6477 alpha=90.00 beta=102.88 gamma=90.00
Space group P2_1/m (No. 11)
Inequivalent atoms, fractional coordinates:
V 0.2305 0.2500 0.2238 [2 per cell]
In 0.1010 0.2500 0.6631 [2 per cell]
Ag 0.4037 0.7500 0.1447 [2 per cell]
O 0.0255 0.2500 0.9871 [2 per cell]
O 0.1783 0.0165 0.3812 [4 per cell]
O 0.4811 0.7500 0.8203 [2 per cell]

[3]
Here is crystalline In2AgWO at its relaxed geometry from the Alexandria database. Energies are from GGA+U.

Calculated values
As for the crystal system: tetragonal. For the calculated total energy, the calculation gives -0.2940 Ry per atom. For the density of states at the Fermi level, the calculation gives 2.4 states/eV per cell.

Unit cell a=5.3832 b=5.3832 c=3.9287 alpha=90.00 beta=90.00 gamma=90.00
Space group P4/mmm (No. 123)
Inequivalent atoms, fractional coordinates:
In 0.0000 0.5000 0.0000 [2 per cell]
Ag 0.0000 0.0000 0.5000 [1 per cell]
W 0.5000 0.5000 0.5000 [1 per cell]
O 0.5000 0.5000 0.0000 [1 per cell]

[4]
Here is crystalline InAgW2O8 at its relaxed geometry from the Alexandria database. Energies are from GGA+U.

Calculated values
As for the crystal system: monoclinic. For the calculated total energy, the calculation gives -0.4873 Ry per atom. For the density of states at the Fermi level, the calculation gives 0.0 states/eV per cell.

Unit cell a=10.3936 b=5.9563 c=5.1725 alpha=90.00 beta=91.87 gamma=90.00
Space group P2/c (No. 13)
Inequivalent atoms, fractional coordinates:
In 0.0000 0.1769 0.2500 [2 per cell]
Ag 0.5000 0.1773 0.2500 [2 per cell]
W 0.2387 0.3315 0.7523 [4 per cell]
O 0.1137 0.1270 0.6066 [4 per cell]
O 0.1306 0.3937 0.0584 [4 per cell]
O 0.3271 0.4031 0.4417 [4 per cell]
O 0.3532 0.1382 0.8845 [4 per cell]